The following is a DFT calculation (PBE-GGA) of a relaxed structure of Er2Sc2Te7.

Output
**Raw total energy**: -5.049 eV/atom
**E_form (uncorrected)**: -24.6 kcal/mol of atoms
**D(E_F)**: 5.09 states/eV/f.u.

Cell: 9.3878 9.3878 9.3878 Å, 154.74 67.95 118.10°
Atoms (fractional coordinates):
Er: 0.2407 0.0000 0.2407
Er: 0.7593 0.0000 0.7593
Sc: 0.3243 0.8243 0.5000
Sc: 0.7773 0.7773 0.0000
Te: 0.0308 0.7048 0.3260
Te: 0.0933 0.0933 0.0000
Te: 0.3788 0.7048 0.6740
Te: 0.3924 0.4992 0.8932
Te: 0.6060 0.4992 0.1068
Te: 0.6736 0.3114 0.3623
Te: 0.9491 0.3114 0.6377

***

The following is a DFT calculation (PBE-GGA) of a relaxed structure of HgRuW.

Output
**Raw total energy**: -7.141 eV/atom
**Offset from the most stable computed form**: 0.000 eV per atom
**ΔH_f (0 K)**: 0.37 eV/atom
**D(E_F)**: 2.15 states/eV/f.u.

Cell: 6.2265 6.2265 6.2265 Å, 152.33 152.33 39.53°
Atoms (fractional coordinates):
Hg: 0.0000 0.0000 0.0000
Ru: 0.3153 0.3153 0.0000
W: 0.6900 0.6900 0.0000

***

The following is a DFT calculation (PBE-GGA) of a relaxed structure of ZrH3Pd.

Output
**Raw total energy**: -5.103 eV/atom
**D(E_F)**: 1.23 states/eV/f.u.

Cell: 3.1775 4.6346 6.2499 Å, 90.00 90.00 90.00°
Atoms (fractional coordinates):
Zr: 0.2500 0.2500 0.1507
Zr: 0.7500 0.7500 0.8493
H: 0.2500 0.0154 0.8814
H: 0.2500 0.4846 0.8814
H: 0.2500 0.7500 0.5587
H: 0.7500 0.2500 0.4413
H: 0.7500 0.5154 0.1186
H: 0.7500 0.9846 0.1186
Pd: 0.2500 0.2500 0.6069
Pd: 0.7500 0.7500 0.3931

***

The following is a DFT calculation (PBE-GGA) of a relaxed structure of La2YCl.

Output
**Raw total energy**: -4.939 eV/atom
**Offset from the most stable computed form**: 0.282 eV per atom
**E_form (uncorrected)**: -9.2 kcal/mol of atoms
**D(E_F)**: 5.72 states/eV/f.u.

Cell: 3.7752 5.8539 5.7131 Å, 90.00 98.82 90.00°
Atoms (fractional coordinates):
La: 0.1800 0.0000 0.2580
La: 0.8200 0.0000 0.7420
Y: 0.5000 0.5000 0.0000
Cl: 0.5000 0.5000 0.5000

***

The following is a DFT calculation (PBE-GGA) of a relaxed structure of Ca2ErTe3.

Output
**Raw total energy**: -4.487 eV/atom
**Offset from the most stable computed form**: 0.006 eV per atom
**E_form (uncorrected)**: -34.3 kcal/mol of atoms
**D(E_F)**: 2.11 states/eV/f.u.

Cell: 7.6941 7.6941 7.6941 Å, 146.61 131.89 59.83°
Atoms (fractional coordinates):
Ca: 0.1686 0.1686 0.0000
Ca: 0.8314 0.8314 0.0000
Er: 0.5000 0.5000 0.0000
Te: 0.0000 0.5000 0.5000
Te: 0.3387 0.8387 0.5000
Te: 0.6613 0.1613 0.5000

***

The following is a DFT calculation (PBE-GGA) of a relaxed structure of Ce6C2N3O.

Output
**Raw total energy**: -8.284 eV/atom
**E_form (uncorrected)**: -29.6 kcal/mol of atoms
**D(E_F)**: 14.18 states/eV/f.u.

Cell: 8.0493 8.0493 7.2008 Å, 103.02 103.02 25.89°
Atoms (fractional coordinates):
Ce: 0.0012 0.0012 0.2473
Ce: 0.3335 0.3335 0.4204
Ce: 0.3342 0.3342 0.9144
Ce: 0.6657 0.6657 0.0856
Ce: 0.6665 0.6665 0.5796
Ce: 0.9988 0.9988 0.7527
C: 0.1620 0.1620 0.8269
C: 0.8380 0.8380 0.1731
N: 0.1683 0.1683 0.3361
N: 0.5000 0.5000 0.0000
N: 0.8317 0.8317 0.6639
O: 0.5000 0.5000 0.5000

***

The following is a DFT calculation (PBE-GGA) of a relaxed structure of TlCd3.

Output
**Raw total energy**: -1.236 eV/atom
**ΔH_f (0 K)**: 0.04 eV/atom
**D(E_F)**: 1.81 states/eV/f.u.

Cell: 3.3316 3.3316 8.9388 Å, 90.00 90.00 90.00°
Atoms (fractional coordinates):
Tl: 0.0000 0.0000 0.0000
Cd: 0.0000 0.0000 0.5000
Cd: 0.5000 0.5000 0.2687
Cd: 0.5000 0.5000 0.7313

***

The following is a DFT calculation (PBE-GGA) of a relaxed structure of ErAl2Pd.

Output
**Raw total energy**: -4.957 eV/atom
**ΔH_f (0 K)**: -0.65 eV/atom
**D(E_F)**: 2.47 states/eV/f.u.

Cell: 5.5872 5.5872 5.5872 Å, 44.84 44.84 44.84°
Atoms (fractional coordinates):
Er: 0.0000 0.0000 0.0000
Al: 0.2119 0.2119 0.2119
Al: 0.7881 0.7881 0.7881
Pd: 0.5000 0.5000 0.5000

***

The following is a DFT calculation (PBE-GGA) of a relaxed structure of KSrFe.

Output
**Raw total energy**: -2.860 eV/atom
**Offset from the most stable computed form**: 0.123 eV per atom
**ΔH_f (0 K)**: 0.89 eV/atom
**D(E_F)**: 3.77 states/eV/f.u.

Cell: 3.9894 3.9894 8.6426 Å, 90.00 90.00 120.00°
Atoms (fractional coordinates):
K: 0.0000 0.0000 0.0000
Sr: 0.6667 0.3333 0.4565
Fe: 0.3333 0.6667 0.7045

***

The following is a DFT calculation (PBE-GGA) of a relaxed structure of Sc2TcP.

Output
**Raw total energy**: -7.863 eV/atom
**ΔH_f (0 K)**: -0.75 eV/atom
**D(E_F)**: 1.10 states/eV/f.u.

Cell: 3.4875 5.5337 5.5337 Å, 42.25 90.00 90.00°
Atoms (fractional coordinates):
Sc: 0.0000 0.0000 0.0000
Sc: 0.5000 0.2870 0.2870
Tc: 0.0000 0.7233 0.7233
P: 0.5000 0.5616 0.5616

***

The following is a DFT calculation (PBE-GGA) of a relaxed structure of TiHgIr3.

Output
**Raw total energy**: -4.788 eV/atom
**Offset from the most stable computed form**: 1.086 eV per atom
**ΔH_f (0 K)**: 2.17 eV/atom
**D(E_F)**: 6.53 states/eV/f.u.

Cell: 4.8506 4.8506 4.8506 Å, 90.00 90.00 90.00°
Atoms (fractional coordinates):
Ti: 0.0000 0.0000 0.0000
Hg: 0.5000 0.5000 0.5000
Ir: 0.0000 0.5000 0.5000
Ir: 0.5000 0.0000 0.5000
Ir: 0.5000 0.5000 0.0000

***

The following is a DFT calculation (PBE-GGA) of a relaxed structure of NdHg2Au.

Output
**Raw total energy**: -2.596 eV/atom
**ΔH_f (0 K)**: -0.43 eV/atom
**D(E_F)**: 1.95 states/eV/f.u.

Cell: 5.0914 5.0914 5.0914 Å, 60.00 60.00 60.00°
Atoms (fractional coordinates):
Nd: 0.0000 0.0000 0.0000
Hg: 0.2500 0.2500 0.2500
Hg: 0.7500 0.7500 0.7500
Au: 0.5000 0.5000 0.5000

***

In order of appearance, spin magnetization = 0.000, 0.000, 0.000, 0.001, 0.000, 0.780, 0.000, 0.000, 2.853, 0.000, 0.001, 0.000 μB per cell.